a:
# PBE ScZnCoCu, relaxed
# Total magnetization = 0.02 μB/f.u.
data_ScZnCoCu
_chemical_formula_sum 'Sc4 Zn4 Co4 Cu4'
_cell_length_a 6.0587
_cell_length_b 6.0587
_cell_length_c 6.0587
_cell_angle_alpha 90.00
_cell_angle_beta 90.00
_cell_angle_gamma 90.00
_space_group_name_H-M_alt 'F -4 3 m'
_space_group_IT_number 216
_space_group_name_Hall 'F -4 2 3'
loop_
_atom_site_label
_atom_site_fract_x
_atom_site_fract_y
_atom_site_fract_z
Sc1 0.0000 0.0000 0.0000
Zn1 0.0000 0.0000 0.5000
Co1 0.2500 0.2500 0.7500
Cu1 0.2500 0.2500 0.2500

***

b:
# PBE ScZnCoCu, relaxed
# Total magnetization = 1.06 μB/f.u.
data_ScZnCoCu
_chemical_formula_sum 'Sc4 Zn4 Co4 Cu4'
_cell_length_a 6.0955
_cell_length_b 6.0955
_cell_length_c 6.0955
_cell_angle_alpha 90.00
_cell_angle_beta 90.00
_cell_angle_gamma 90.00
_space_group_name_H-M_alt 'F -4 3 m'
_space_group_IT_number 216
_space_group_name_Hall 'F -4 2 3'
loop_
_atom_site_label
_atom_site_fract_x
_atom_site_fract_y
_atom_site_fract_z
Sc1 0.0000 0.0000 0.0000
Zn1 0.2500 0.2500 0.2500
Co1 0.0000 0.0000 0.5000
Cu1 0.2500 0.2500 0.7500

***

Result of the stability comparison: a is the most stable of them.

***

a:
Cu4Ag: relaxed, PBE.

The structure in CIF format:
```
data_Cu4Ag
_chemical_formula_sum 'Cu16 Ag4'
_cell_length_a 13.4305
_cell_length_b 3.7321
_cell_length_c 5.3053
_cell_angle_alpha 90.00
_cell_angle_beta 101.49
_cell_angle_gamma 90.00
_space_group_name_H-M_alt 'C 1 2/m 1'
_space_group_IT_number 12
_space_group_name_Hall '-C 2y'
loop_
_atom_site_label
_atom_site_fract_x
_atom_site_fract_y
_atom_site_fract_z
Cu1 0.0000 0.0000 0.0000
Cu2 0.0000 0.0000 0.5000
Cu3 0.1040 0.5000 0.3023
Cu4 0.2000 0.0000 0.1097
Cu5 0.2039 0.0000 0.5929
Ag1 0.1002 0.5000 0.7995
```

***

b:
Cu4Ag: relaxed, PBE.

The structure in CIF format:
```
data_Cu4Ag
_chemical_formula_sum 'Cu8 Ag2'
_cell_length_a 2.7173
_cell_length_b 2.7173
_cell_length_c 17.6152
_cell_angle_alpha 90.00
_cell_angle_beta 90.00
_cell_angle_gamma 90.00
_space_group_name_H-M_alt 'P 4/m m m'
_space_group_IT_number 123
_space_group_name_Hall '-P 4 2'
loop_
_atom_site_label
_atom_site_fract_x
_atom_site_fract_y
_atom_site_fract_z
Cu1 0.0000 0.0000 0.0000
Cu2 0.0000 0.0000 0.1844
Cu3 0.0000 0.0000 0.4076
Cu4 0.5000 0.5000 0.0922
Cu5 0.5000 0.5000 0.5000
Ag1 0.5000 0.5000 0.2961
```

***

Result of the stability comparison: b is the most stable of them.

***

a:
Cu4Ag: relaxed, PBE.

The structure in CIF format:
```
data_Cu4Ag
_chemical_formula_sum 'Cu8 Ag2'
_cell_length_a 6.4145
_cell_length_b 2.6810
_cell_length_c 7.8594
_cell_angle_alpha 90.00
_cell_angle_beta 104.77
_cell_angle_gamma 90.00
_space_group_name_H-M_alt 'P 1 21/m 1'
_space_group_IT_number 11
_space_group_name_Hall '-P 2yb'
loop_
_atom_site_label
_atom_site_fract_x
_atom_site_fract_y
_atom_site_fract_z
Cu1 0.0404 0.2500 0.1679
Cu2 0.1494 0.7500 0.4501
Cu3 0.2479 0.2500 0.7323
Cu4 0.4519 0.2500 0.3618
Ag1 0.3368 0.7500 0.0553
```

***

b:
Cu4Ag: relaxed, PBE.

The structure in CIF format:
```
data_Cu4Ag
_chemical_formula_sum 'Cu16 Ag4'
_cell_length_a 4.5584
_cell_length_b 13.3855
_cell_length_c 4.5283
_cell_angle_alpha 90.00
_cell_angle_beta 108.67
_cell_angle_gamma 90.00
_space_group_name_H-M_alt 'C 1 2/m 1'
_space_group_IT_number 12
_space_group_name_Hall '-C 2y'
loop_
_atom_site_label
_atom_site_fract_x
_atom_site_fract_y
_atom_site_fract_z
Cu1 0.0000 0.0000 0.0000
Cu2 0.0000 0.0926 0.5000
Cu3 0.0000 0.1931 0.0000
Cu4 0.0000 0.4058 0.0000
Cu5 0.0000 0.5000 0.5000
Ag1 0.0000 0.3041 0.5000
```

***

Result of the stability comparison: a is the most stable of them.

***

a:
# PBE CdPOsO, relaxed
# Total magnetization = 0.03 μB/f.u.
data_CdPOsO
_chemical_formula_sum 'Cd2 P2 Os2 O2'
_cell_length_a 4.0950
_cell_length_b 4.0950
_cell_length_c 7.6891
_cell_angle_alpha 90.00
_cell_angle_beta 90.00
_cell_angle_gamma 90.00
_space_group_name_H-M_alt 'P 4/n m m'
_space_group_IT_number 129
loop_
_space_group_symop_operation_xyz
'x,y,z'
'-x,-y,-z'
'-y+1/2,x,z'
'y+1/2,-x,-z'
'-x+1/2,-y+1/2,z'
'x+1/2,y+1/2,-z'
'y,-x+1/2,z'
'-y,x+1/2,-z'
'x+1/2,-y,-z'
'-x+1/2,y,z'
'-y,-x,-z'
'y,x,z'
'-x,y+1/2,-z'
'x,-y+1/2,z'
'y+1/2,x+1/2,-z'
'-y+1/2,-x+1/2,z'
loop_
_atom_site_label
_atom_site_fract_x
_atom_site_fract_y
_atom_site_fract_z
Cd1 0.2500 0.2500 0.1106
P1 0.2500 0.2500 0.6451
Os1 0.2500 0.7500 0.5000
O1 0.2500 0.7500 0.0000

***

b:
# PBE CdPOsO, relaxed
# Total magnetization = 0.01 μB/f.u.
data_CdPOsO
_chemical_formula_sum 'Cd2 P2 Os2 O2'
_cell_length_a 3.5219
_cell_length_b 3.5219
_cell_length_c 9.8784
_cell_angle_alpha 90.00
_cell_angle_beta 90.00
_cell_angle_gamma 90.00
_space_group_name_H-M_alt 'P 4/n m m'
_space_group_IT_number 129
loop_
_space_group_symop_operation_xyz
'x,y,z'
'-x,-y,-z'
'-y+1/2,x,z'
'y+1/2,-x,-z'
'-x+1/2,-y+1/2,z'
'x+1/2,y+1/2,-z'
'y,-x+1/2,z'
'-y,x+1/2,-z'
'x+1/2,-y,-z'
'-x+1/2,y,z'
'-y,-x,-z'
'y,x,z'
'-x,y+1/2,-z'
'x,-y+1/2,z'
'y+1/2,x+1/2,-z'
'-y+1/2,-x+1/2,z'
loop_
_atom_site_label
_atom_site_fract_x
_atom_site_fract_y
_atom_site_fract_z
Cd1 0.2500 0.7500 0.0000
P1 0.2500 0.2500 0.2671
Os1 0.2500 0.2500 0.6314
O1 0.2500 0.7500 0.5000

***

Result of the stability comparison: a is the most stable of them.

***

a:
RbHg3GeSe4: relaxed, PBE.

The structure in CIF format:
```
data_RbHg3GeSe4
_chemical_formula_sum 'Rb2 Hg6 Ge2 Se8'
_cell_length_a 7.3967
_cell_length_b 7.9290
_cell_length_c 10.1537
_cell_angle_alpha 90.00
_cell_angle_beta 97.68
_cell_angle_gamma 90.00
_space_group_name_H-M_alt 'P 1 21/m 1'
_space_group_IT_number 11
_space_group_name_Hall '-P 2yb'
loop_
_atom_site_label
_atom_site_fract_x
_atom_site_fract_y
_atom_site_fract_z
Rb1 0.1851 0.2500 0.1103
Hg1 0.2389 0.5582 0.5111
Hg2 0.4386 0.2500 0.7419
Ge1 0.0511 0.7500 0.2955
Se1 0.1617 0.0138 0.7705
Se2 0.2428 0.7500 0.1198
Se3 0.3949 0.2500 0.4632
```

***

b:
RbHg3GeSe4: relaxed, PBE.

The structure in CIF format:
```
data_RbHg3GeSe4
_chemical_formula_sum 'Rb1 Hg3 Ge1 Se4'
_cell_length_a 6.8934
_cell_length_b 6.8934
_cell_length_c 6.8934
_cell_angle_alpha 90.00
_cell_angle_beta 90.00
_cell_angle_gamma 90.00
_space_group_name_H-M_alt 'P -4 3 m'
_space_group_IT_number 215
_space_group_name_Hall 'P -4 2 3'
loop_
_atom_site_label
_atom_site_fract_x
_atom_site_fract_y
_atom_site_fract_z
Rb1 0.0000 0.0000 0.0000
Hg1 0.0000 0.5000 0.5000
Ge1 0.5000 0.5000 0.5000
Se1 0.2805 0.2805 0.2805
```

***

Result of the stability comparison: a is the most stable of them.

***

a:
# PBE KPrSO, relaxed
# Total magnetization = 0.00 μB/f.u.
data_KPrSO
_chemical_formula_sum 'K2 Pr2 S2 O2'
_cell_length_a 4.6228
_cell_length_b 8.1470
_cell_length_c 6.5384
_cell_angle_alpha 90.00
_cell_angle_beta 90.00
_cell_angle_gamma 90.00
_space_group_name_H-M_alt 'P m c 21'
_space_group_IT_number 26
_space_group_name_Hall 'P 2c -2'
loop_
_atom_site_label
_atom_site_fract_x
_atom_site_fract_y
_atom_site_fract_z
K1 0.0000 0.1933 0.0000
Pr1 0.5000 0.3632 0.4329
S1 0.0000 0.1927 0.5179
O1 0.5000 0.3979 0.0959

***

b:
# PBE KPrSO, relaxed
# Total magnetization = 0.00 μB/f.u.
data_KPrSO
_chemical_formula_sum 'K4 Pr4 S4 O4'
_cell_length_a 5.9015
_cell_length_b 5.8935
_cell_length_c 11.4157
_cell_angle_alpha 90.00
_cell_angle_beta 104.67
_cell_angle_gamma 90.00
_space_group_name_H-M_alt 'P 1 21 1'
_space_group_IT_number 4
_space_group_name_Hall 'P 2yb'
loop_
_atom_site_label
_atom_site_fract_x
_atom_site_fract_y
_atom_site_fract_z
K1 0.0484 0.0000 0.0996
K2 0.4505 0.0008 0.9000
Pr1 0.0519 0.2596 0.6046
Pr2 0.4478 0.2592 0.3953
S1 0.0968 0.5004 0.2000
S2 0.4041 0.5006 0.8000
O1 0.2501 0.0100 0.5001
O2 0.2499 0.5104 0.5000

***

Result of the stability comparison: b is the most stable of them.